(1)
Material: LaSiN2
Method: DFT, PBE
State: optimized geometry

Results
**Magnetic moment**: 0.000 μB/atom
**Crystal system**: triclinic
**E**: -7.56 eV per atom
**DOS at the Fermi energy**: 1.1 states/eV/f.u.
**Energy relative to the elements, uncorrected**: -0.81 eV/atom

Structure (CIF):
```
data_LaSiN2
_chemical_formula_sum 'La2 Si2 N4'
_cell_length_a 4.479
_cell_length_b 5.760
_cell_length_c 5.760
_cell_angle_alpha 89.99
_cell_angle_beta 89.98
_cell_angle_gamma 89.89
_symmetry_space_group_name_H-M 'P -1'
_symmetry_Int_Tables_number 2
_symmetry_space_group_name_Hall '-P 1'
loop_
_atom_site_label
_atom_site_type_symbol
_atom_site_fract_x
_atom_site_fract_y
_atom_site_fract_z
La1 La 0.000 0.000 0.000
La2 La 0.500 0.500 0.500
Si1 Si 0.250 0.000 0.500
N1 N 0.001 0.774 0.556
N2 N 0.500 0.056 0.726
```

(2)
Material: La6SiN2
Method: DFT, PBE
State: optimized geometry

Results
**Magnetic moment**: 0.000 μB/atom
**Crystal system**: monoclinic
**E**: -6.42 eV per atom
**DOS at the Fermi energy**: 7.0 states/eV/f.u.
**Energy relative to the elements, uncorrected**: -0.68 eV/atom

Structure (CIF):
```
data_La6SiN2
_chemical_formula_sum 'La12 Si2 N4'
_cell_length_a 13.809
_cell_length_b 4.984
_cell_length_c 9.092
_cell_angle_alpha 90.00
_cell_angle_beta 125.89
_cell_angle_gamma 90.00
_symmetry_space_group_name_H-M 'C 1 2/m 1'
_symmetry_Int_Tables_number 12
_symmetry_space_group_name_Hall '-C 2y'
loop_
_atom_site_label
_atom_site_type_symbol
_atom_site_fract_x
_atom_site_fract_y
_atom_site_fract_z
La1 La 0.028 0.000 0.200
La2 La 0.155 0.500 0.591
La3 La 0.198 0.500 0.070
Si1 Si 0.000 0.000 0.500
N1 N 0.173 0.000 0.089
```

(3)
Material: La4SiN2
Method: DFT, PBE
State: optimized geometry

Results
**Magnetic moment**: 0.000 μB/atom
**Crystal system**: orthorhombic
**Relative energy among the computed polymorphs**: 0 meV/atom
**E**: -6.92 eV per atom
**DOS at the Fermi energy**: 5.3 states/eV/f.u.
**Energy relative to the elements, uncorrected**: -0.96 eV/atom

Structure (CIF):
```
data_La4SiN2
_chemical_formula_sum 'La16 Si4 N8'
_cell_length_a 4.015
_cell_length_b 12.551
_cell_length_c 12.809
_cell_angle_alpha 90.00
_cell_angle_beta 90.00
_cell_angle_gamma 90.00
_symmetry_space_group_name_H-M 'C m c m'
_symmetry_Int_Tables_number 63
_symmetry_space_group_name_Hall '-C 2c 2'
loop_
_atom_site_label
_atom_site_type_symbol
_atom_site_fract_x
_atom_site_fract_y
_atom_site_fract_z
La1 La 0.000 0.000 0.000
La2 La 0.000 0.270 0.110
La3 La 0.000 0.424 0.750
Si1 Si 0.000 0.096 0.750
N1 N 0.000 0.359 0.555
```

(4)
Material: La4SiN5
Method: DFT, PBE
State: optimized geometry

Results
**Magnetic moment**: 0.000 μB/atom
**Crystal system**: tetragonal
**E**: -7.62 eV per atom
**DOS at the Fermi energy**: 3.3 states/eV/f.u.
**Energy relative to the elements, uncorrected**: -0.95 eV/atom

Structure (CIF):
```
data_La4SiN5
_chemical_formula_sum 'La8 Si2 N10'
_cell_length_a 7.712
_cell_length_b 7.712
_cell_length_c 5.495
_cell_angle_alpha 90.00
_cell_angle_beta 90.00
_cell_angle_gamma 90.00
_symmetry_space_group_name_H-M 'I 4'
_symmetry_Int_Tables_number 79
_symmetry_space_group_name_Hall 'I 4'
loop_
_atom_site_label
_atom_site_type_symbol
_atom_site_fract_x
_atom_site_fract_y
_atom_site_fract_z
La1 La 0.105 0.299 0.000
Si1 Si 0.000 0.000 0.463
N1 N 0.000 0.000 0.142
N2 N 0.086 0.250 0.539
```

(5)
Material: La2SiN4
Method: DFT, PBE
State: optimized geometry

Results
**Magnetic moment**: 0.001 μB/atom
**Crystal system**: tetragonal
**E**: -7.82 eV per atom
**DOS at the Fermi energy**: 6.1 states/eV/f.u.
**Energy relative to the elements, uncorrected**: -0.88 eV/atom

Structure (CIF):
```
data_La2SiN4
_chemical_formula_sum 'La4 Si2 N8'
_cell_length_a 3.771
_cell_length_b 3.771
_cell_length_c 12.720
_cell_angle_alpha 90.00
_cell_angle_beta 90.00
_cell_angle_gamma 90.00
_symmetry_space_group_name_H-M 'I 4/m m m'
_symmetry_Int_Tables_number 139
_symmetry_space_group_name_Hall '-I 4 2'
loop_
_atom_site_label
_atom_site_type_symbol
_atom_site_fract_x
_atom_site_fract_y
_atom_site_fract_z
La1 La 0.000 0.000 0.143
Si1 Si 0.000 0.000 0.500
N1 N 0.000 0.000 0.344
N2 N 0.000 0.500 0.000
```

(6)
Material: La2SiN3
Method: DFT, PBE
State: optimized geometry

Results
**Magnetic moment**: 0.000 μB/atom
**Crystal system**: orthorhombic
**Relative energy among the computed polymorphs**: 0 meV/atom
**E**: -8.03 eV per atom
**DOS at the Fermi energy**: 1.2 states/eV/f.u.
**Energy relative to the elements, uncorrected**: -1.32 eV/atom

Structure (CIF):
```
data_La2SiN3
_chemical_formula_sum 'La16 Si8 N24'
_cell_length_a 5.479
_cell_length_b 10.977
_cell_length_c 12.037
_cell_angle_alpha 90.00
_cell_angle_beta 90.00
_cell_angle_gamma 90.00
_symmetry_space_group_name_H-M 'C m c e'
_symmetry_Int_Tables_number 64
_symmetry_space_group_name_Hall '-C 2ac 2'
loop_
_atom_site_label
_atom_site_type_symbol
_atom_site_fract_x
_atom_site_fract_y
_atom_site_fract_z
La1 La 0.000 0.062 0.141
La2 La 0.000 0.139 0.574
Si1 Si 0.000 0.241 0.335
N1 N 0.000 0.081 0.365
N2 N 0.000 0.155 0.947
N3 N 0.250 0.232 0.750
```

(7)
Material: La12Si3N5
Method: DFT, PBE
State: optimized geometry

Results
**Magnetic moment**: 0.000 μB/atom
**Crystal system**: cubic
**E**: -6.71 eV per atom
**DOS at the Fermi energy**: 11.6 states/eV/f.u.
**Energy relative to the elements, uncorrected**: -0.86 eV/atom

Structure (CIF):
```
data_La12Si3N5
_chemical_formula_sum 'La96 Si24 N40'
_cell_length_a 16.162
_cell_length_b 16.162
_cell_length_c 16.162
_cell_angle_alpha 90.00
_cell_angle_beta 90.00
_cell_angle_gamma 90.00
_symmetry_space_group_name_H-M 'I a -3 d'
_symmetry_Int_Tables_number 230
_symmetry_space_group_name_Hall '-I 4bd 2c 3'
loop_
_atom_site_label
_atom_site_type_symbol
_atom_site_fract_x
_atom_site_fract_y
_atom_site_fract_z
La1 La 0.033 0.054 0.649
Si1 Si 0.000 0.250 0.125
N1 N 0.000 0.000 0.000
N2 N 0.000 0.250 0.375
```

(8)
Material: La2SiN3
Method: DFT, PBE
State: optimized geometry

Results
**Magnetic moment**: 0.000 μB/atom
**Crystal system**: monoclinic
**Relative energy among the computed polymorphs**: 240 meV/atom
**E**: -7.79 eV per atom
**DOS at the Fermi energy**: 1.6 states/eV/f.u.
**Energy relative to the elements, uncorrected**: -1.08 eV/atom

Structure (CIF):
```
data_La2SiN3
_chemical_formula_sum 'La8 Si4 N12'
_cell_length_a 10.960
_cell_length_b 6.647
_cell_length_c 7.052
_cell_angle_alpha 90.00
_cell_angle_beta 125.12
_cell_angle_gamma 90.00
_symmetry_space_group_name_H-M 'C 1 2/c 1'
_symmetry_Int_Tables_number 15
_symmetry_space_group_name_Hall '-C 2yc'
loop_
_atom_site_label
_atom_site_type_symbol
_atom_site_fract_x
_atom_site_fract_y
_atom_site_fract_z
La1 La 0.169 0.106 0.237
Si1 Si 0.000 0.406 0.750
N1 N 0.000 0.147 0.750
N2 N 0.155 0.463 0.323
```

(9)
Material: La5SiN8
Method: DFT, PBE
State: optimized geometry

Results
**Magnetic moment**: 0.000 μB/atom
**Crystal system**: tetragonal
**E**: -7.48 eV per atom
**DOS at the Fermi energy**: 5.8 states/eV/f.u.
**Energy relative to the elements, uncorrected**: -0.58 eV/atom

Structure (CIF):
```
data_La5SiN8
_chemical_formula_sum 'La10 Si2 N16'
_cell_length_a 6.997
_cell_length_b 6.997
_cell_length_c 9.112
_cell_angle_alpha 90.00
_cell_angle_beta 90.00
_cell_angle_gamma 90.00
_symmetry_space_group_name_H-M 'I -4'
_symmetry_Int_Tables_number 82
_symmetry_space_group_name_Hall 'I -4'
loop_
_atom_site_label
_atom_site_type_symbol
_atom_site_fract_x
_atom_site_fract_y
_atom_site_fract_z
La1 La 0.000 0.000 0.000
La2 La 0.115 0.744 0.377
Si1 Si 0.000 0.500 0.750
N1 N 0.069 0.731 0.683
N2 N 0.081 0.699 0.111
```

> Which formula does entry 5 have?

La2SiN4

> The lowest DOS at the Fermi energy belongs to which entry?

LaSiN2